1.
A geometry-optimized CuPt structure, computed with PBEsol.

abc: 2.7355 2.7355 7.0479
angles: 90.00 90.00 90.00
Positions (direct):
Cu1 0.2500 0.2500 0.1094
Cu2 0.7500 0.7500 0.8906
Pt1 0.2500 0.2500 0.6430
Pt2 0.7500 0.7500 0.3570

Output
calculated volume = 52.7 Å³ per cell
total magnetization = 0.000 μB/f.u.
SG = P4/nmm
crystal system = tetragonal
ΔH_f (0 K) = -0.08 eV/atom

2.
A geometry-optimized BaTl2Se structure, computed with PBEsol.

abc: 6.3850 6.4278 12.6995
angles: 90.00 90.00 90.00
Positions (direct):
Ba1 0.0000 0.0000 0.0000
Ba2 0.0000 0.5000 0.5000
Ba3 0.5000 0.0000 0.5000
Ba4 0.5000 0.5000 0.0000
Tl1 0.0000 0.2500 0.2500
Tl2 0.0000 0.2500 0.7500
Tl3 0.0000 0.7500 0.2500
Tl4 0.0000 0.7500 0.7500
Tl5 0.5000 0.2500 0.2500
Tl6 0.5000 0.2500 0.7500
Tl7 0.5000 0.7500 0.2500
Tl8 0.5000 0.7500 0.7500
Se1 0.0000 0.0000 0.5000
Se2 0.0000 0.5000 0.0000
Se3 0.5000 0.0000 0.0000
Se4 0.5000 0.5000 0.5000

Output
calculated volume = 521.2 Å³ per cell
total magnetization = 0.000 μB/f.u.
SG = Fmmm
crystal system = orthorhombic
uncorrected formation energy = -0.737 eV per atom

no.,DOS at the Fermi energy (states/eV per atom)
1,0.838
2,0.400